4
Lattice="0.000 3.002 3.002 3.002 0.000 3.002 3.002 3.002 0.000" Properties=species:S:1:pos:R:3 comment="TiTcP2 PBE-GGA relaxed" crystal_system=cubic magmom_total_mub_per_cell=1.043 formation_energy_ev_per_fu=-2.2 pbc="T T T"
Ti 0.000 0.000 0.000
Tc 3.002 3.002 3.002
P 1.501 1.501 1.501
P 4.503 4.503 4.503